Li3VF8 | meta-GGA SCAN | single point on PBEsol structure

```
12
Lattice="3.377 -4.776 0.000 3.377 4.776 0.000 -2.691 0.000 4.596" Properties=species:S:1:pos:R:3 pbc="T T T"
Li 0.000 0.000 0.000
Li 1.689 2.388 0.000
Li 1.689 -2.388 0.000
V 2.032 0.000 2.298
F 3.377 2.959 0.000
F 0.258 0.000 2.259
F 2.032 1.783 2.298
F 2.032 0.000 0.485
F 2.032 0.000 4.112
F 2.032 -1.783 2.298
F 3.806 0.000 2.337
F 3.377 -2.959 0.000
```

Results
Magnetic moment: 0.09 μB per formula unit
SG: C2/m, No. 12
Theoretical density: 2.51 g/cm³
Energy above the most stable polymorph in this dataset: 0 kJ/mol of formula units
Calculated total energy: -88.1 eV per cell
Formation energy without anion corrections: -2930 meV/atom

KTl2Br | meta-GGA SCAN | single point on PBEsol structure

```
4
Lattice="3.788 0.000 0.000 0.000 5.706 0.000 0.000 0.000 6.212" Properties=species:S:1:pos:R:3 pbc="T T T"
K 0.000 0.000 0.000
Tl 1.894 2.853 1.621
Tl 1.894 2.853 4.591
Br 0.000 0.000 3.106
```

Results
Magnetic moment: 0.00 μB per formula unit
SG: Pmmm, No. 47
Theoretical density: 6.53 g/cm³
Calculated total energy: -174.4 eV per cell
Formation energy without anion corrections: -478 meV/atom

YHfSi2I | meta-GGA SCAN | single point on PBEsol structure

```
5
Lattice="5.164 0.000 0.000 0.000 5.164 0.000 0.000 0.000 5.535" Properties=species:S:1:pos:R:3 pbc="T T T"
Y 0.000 0.000 0.000
Hf 0.000 0.000 2.768
Si 0.000 2.582 0.000
Si 2.582 0.000 0.000
I 2.582 2.582 2.768
```

Results
Magnetic moment: 0.00 μB per formula unit
SG: P4/mmm, No. 123
Theoretical density: 5.07 g/cm³
Calculated total energy: -140.4 eV per cell
Formation energy without anion corrections: 1373 meV/atom

CoRe2Ru | meta-GGA SCAN | single point on PBEsol structure

```
4
Lattice="0.000 2.991 2.991 2.991 0.000 2.991 2.991 2.991 0.000" Properties=species:S:1:pos:R:3 pbc="T T T"
Co 0.000 0.000 0.000
Re 1.496 1.496 1.496
Re 2.991 2.991 2.991
Ru 4.487 4.487 4.487
```

Results
Magnetic moment: 2.52 μB per formula unit
SG: F-43m, No. 216
Formation enthalpy at 0 K: 4.560 kcal/mol of atoms
Theoretical density: 16.52 g/cm³
Energy above the most stable polymorph in this dataset: 77 kJ/mol of formula units
Calculated total energy: -193.5 eV per cell